Computed, not measured: a geometry-optimized Co5Hg3Cl12 structure at the GGA-PBE level of DFT.

Unit cell a=15.5410 b=15.5410 c=15.5410 alpha=90.00 beta=90.00 gamma=90.00
With the nearest neighbours (Å) after each atom.
Space group Ia-3d (No. 230)
Symmetry-distinct sites (fractional):
Co: 0.0000 0.0000 0.0000 x16  6 Cl 2.44
Co: 0.0000 0.2500 0.3750 x24  4 Cl 2.25
Hg: 0.0000 0.2500 0.1250 x24  8 Cl 2.99-3.28
Cl: 0.0321 0.0427 0.6475 x96  2 Co 2.25-2.44

Computed properties:
Magnetic moment ... 2.94 μB/f.u.
DOS at the Fermi energy ... 12.80 states/eV/f.u.

Computed, not measured: a geometry-optimized Rb3B2Cl8 structure at the GGA-PBE level of DFT.

Unit cell a=6.6358 b=6.6358 c=39.5533 alpha=90.00 beta=90.00 gamma=120.00
With the nearest neighbours (Å) after each atom.
Space group R-3m (No. 166, hexagonal axes)
Symmetry-distinct sites (fractional):
Rb: 0.0000 0.0000 0.0000 x3  12 Cl 3.53-3.85
Rb: 0.0000 0.0000 0.2199 x6  6 Cl 3.70
B: 0.0000 0.0000 0.3893 x6  4 Cl 1.86-1.87
Cl: 0.0000 0.0000 0.3423 x6  1 B 1.86
Cl: 0.0282 0.5141 0.2612 x18  1 B 1.87

Computed properties:
Magnetic moment ... 0.00 μB/f.u.
DOS at the Fermi energy ... 1.43 states/eV/f.u.

Sequential theoretical density output: 4.68 1.85 g/cm³
Sequential volume output: 3753.5 1508.3 Å³/cell
Sequential calculated total energy output: -3.33 -3.60 eV/atom